A plane-wave DFT calculation with GGA-PBE was carried out for an optimized crystal structure of TlFeP2Cl.

Its density of states at the Fermi level is 6.46 states/eV/f.u. For the uncorrected energy, the calculation gives -16.65 eV for the cell shown. Its uncorrected formation energy is 1369 meV/atom.

a = 5.0886 Å, b = 5.0886 Å, c = 5.3049 Å
α = 90.00°, β = 90.00°, γ = 90.00°
With the nearest neighbours (Å) after each atom.
Space group P4/mmm (No. 123)
One atom of each set of equivalent atoms:
Tl 0.0000 0.0000 0.0000  4 P 2.54, 2 Cl 2.65
Fe 0.5000 0.5000 0.5000  4 Cl 3.60, 8 P 3.68
P 0.0000 0.5000 0.0000  2 Tl 2.54
Cl 0.0000 0.0000 0.5000  2 Tl 2.65